## CsLiOs3 (PBE)

Data for a geometry-optimized CsLiOs3 structure.

Cell: 5.036 5.036 5.036 Å, 90.00 90.00 90.00°
Fractional positions:
Cs  0.000  0.000  0.000
Li  0.500  0.500  0.500
Os  0.000  0.000  0.500
Os  0.000  0.500  0.000
Os  0.500  0.000  0.000

Results
Symmetry: Pm-3m (221)
Polymorph energy (0 for the lowest one) in meV per atom: 1242.2

***

## HfOsW (PBE)

Data for a geometry-optimized HfOsW structure.

Cell: 6.622 6.622 4.286 Å, 90.00 90.00 120.00°
Fractional positions:
Hf  0.000  0.562  0.000
Hf  0.438  0.438  0.000
Hf  0.562  0.000  0.000
Os  0.000  0.248  0.500
Os  0.248  0.000  0.500
Os  0.752  0.752  0.500
W  0.000  0.000  0.000
W  0.333  0.667  0.500
W  0.667  0.333  0.500

Results
Symmetry: P-62m (189)
Energy in eV per atom: -11.390

***

## Al2IrRu (PBE)

Data for a geometry-optimized Al2IrRu structure.

Cell: 2.810 2.810 8.152 Å, 90.00 90.00 116.73°
Fractional positions:
Al  0.000  0.000  0.246
Al  0.000  0.000  0.754
Ir  0.500  0.500  0.500
Ru  0.500  0.500  0.000

Results
Symmetry: Cmmm (65)
Energy in eV per atom: -6.828

***

## Cs5In2Ga4 (PBE)

Data for a geometry-optimized Cs5In2Ga4 structure.

Cell: 7.907 7.907 10.775 Å, 100.60 100.60 106.22°
Fractional positions:
Cs  0.000  0.000  0.000
Cs  0.049  0.451  0.719
Cs  0.451  0.049  0.719
Cs  0.549  0.951  0.281
Cs  0.951  0.549  0.281
In  0.097  0.097  0.396
In  0.903  0.903  0.604
Ga  0.345  0.345  0.283
Ga  0.390  0.390  0.544
Ga  0.610  0.610  0.456
Ga  0.655  0.655  0.717

Results
Symmetry: C2/m (12)
Energy in eV per atom: -2.003

***

no.,density of states at the Fermi level (states/eV per cell)
1,6.48
2,7.18
3,1.95
4,5.53